Entry from the Alexandria database: a relaxed TiSiRhCl2 crystal (PBEsol).

Computed properties:
- final energy (eV per atom) = -5.1218
- space group = P4/mmm
- V (Å³/atom) = 19.61
- magnetization (μB per atom) = 0.00
- E_form (uncorrected) (eV per atom) = 0.123

Lattice parameters (Å, degrees): 4.4969 4.4969 4.8480 90.00 90.00 90.00
Sites, in units of the cell vectors:
Ti 0.0000 0.0000 0.0000
Si 0.5000 0.5000 0.5000
Rh 0.0000 0.0000 0.5000
Cl 0.0000 0.5000 0.0000
Cl 0.5000 0.0000 0.0000

=====

Entry from the Alexandria database: a relaxed Er7FeI12 crystal (PBEsol).

Computed properties:
- final energy (eV per atom) = -4.3898
- space group = R-3
- V (Å³/atom) = 34.60
- magnetization (μB per atom) = 0.04
- E_form (uncorrected) (eV per atom) = -1.157

Lattice parameters (Å, degrees): 9.3934 9.3934 9.3934 106.91 106.91 106.91
Sites, in units of the cell vectors:
Er 0.0000 0.0000 0.0000
Er 0.2089 0.4776 0.4069
Er 0.4069 0.2089 0.4776
Er 0.4776 0.4069 0.2089
Er 0.5224 0.5931 0.7911
Er 0.5931 0.7911 0.5224
Er 0.7911 0.5224 0.5931
Fe 0.5000 0.5000 0.5000
I 0.0318 0.1122 0.3424
I 0.1122 0.3424 0.0318
I 0.1748 0.5722 0.7291
I 0.2709 0.8252 0.4278
I 0.3424 0.0318 0.1122
I 0.4278 0.2709 0.8252
I 0.5722 0.7291 0.1748
I 0.6576 0.9682 0.8878
I 0.7291 0.1748 0.5722
I 0.8252 0.4278 0.2709
I 0.8878 0.6576 0.9682
I 0.9682 0.8878 0.6576

=====

Entry from the Alexandria database: a relaxed InHPd3 crystal (PBEsol).

Computed properties:
- final energy (eV per atom) = -5.3221
- energy relative to the lowest polymorph listed for this composition (meV per atom) = 0.0
- space group = Pm-3m
- V (Å³/atom) = 12.90
- magnetization (μB per atom) = 0.00

Lattice parameters (Å, degrees): 4.0101 4.0101 4.0101 90.00 90.00 90.00
Sites, in units of the cell vectors:
In 0.0000 0.0000 0.0000
H 0.5000 0.5000 0.5000
Pd 0.0000 0.5000 0.5000
Pd 0.5000 0.0000 0.5000
Pd 0.5000 0.5000 0.0000

=====

Entry from the Alexandria database: a relaxed Hf2HO crystal (PBEsol).

Computed properties:
- final energy (eV per atom) = -7.8440
- space group = Fm-3m
- V (Å³/atom) = 11.78
- magnetization (μB per atom) = 0.00

Lattice parameters (Å, degrees): 4.0538 4.0538 4.0538 60.00 60.00 60.00
Sites, in units of the cell vectors:
Hf 0.2500 0.2500 0.2500
Hf 0.7500 0.7500 0.7500
H 0.0000 0.0000 0.0000
O 0.5000 0.5000 0.5000

=====

| no. | D(E_F) (states/eV per atom) |
| --- | --- |
| 1 | 0.51 |
| 2 | 0.57 |
| 3 | 0.10 |
| 4 | 0.54 |